1.
VASP calculation (PBE) on an optimized crystal structure of Ba2YPt.

Unit cell a=3.882 b=3.882 c=10.010 alpha=90.00 beta=90.00 gamma=90.00
Space group P4/mmm (No. 123)
Unique sites:
1 Ba 0.000 0.000 0.184 x2
2 Y 0.500 0.500 0.500 x1
3 Pt 0.500 0.500 0.000 x1

2.
VASP calculation (PBE) on an optimized crystal structure of BaYPt2.

Unit cell a=7.115 b=7.115 c=7.115 alpha=90.00 beta=90.00 gamma=90.00
Space group F-43m (No. 216)
Unique sites:
1 Ba 0.000 0.000 0.000 x4
2 Y 0.250 0.250 0.250 x4
3 Pt 0.000 0.000 0.500 x4
4 Pt 0.250 0.250 0.750 x4

3.
VASP calculation (PBE) on an optimized crystal structure of BaYPt2.

Unit cell a=4.446 b=3.981 c=12.353 alpha=90.00 beta=90.00 gamma=90.00
Space group Amm2 (No. 38)
Unique sites:
1 Ba 0.000 0.000 0.000 x2
2 Y 0.500 0.000 0.733 x2
3 Pt 0.000 0.000 0.261 x2
4 Pt 0.500 0.000 0.404 x2

4.
VASP calculation (PBE) on an optimized crystal structure of BaYPt.

Unit cell a=7.100 b=7.100 c=7.100 alpha=90.00 beta=90.00 gamma=90.00
Space group F-43m (No. 216)
Unique sites:
1 Ba 0.000 0.000 0.000 x4
2 Y 0.250 0.250 0.250 x4
3 Pt 0.250 0.250 0.750 x4

It is found that the formation energy from the elements values, taken in the order of the records, are -0.177 -0.379 -0.863 0.342 eV per atom.